#P
Entry from the Alexandria database: Er3CoAg after structural relaxation (PBE-GGA).

Cell: 3.735 8.487 8.489 Å, 69.20 90.00 90.00°
Sites, in units of the cell vectors:
Er 0.864 0.375 0.814
Er 0.864 0.013 0.679
Er 0.363 0.015 0.067
Er 0.863 0.626 0.065
Er 0.363 0.374 0.426
Er 0.863 0.762 0.427
Co 0.364 0.194 0.746
Co 0.363 0.694 0.246
Ag 0.863 0.194 0.247
Ag 0.363 0.694 0.746

Values from the calculation:
DOS at the Fermi energy = 6.87 states/eV/cell
symmetry = Cmmm, No. 65

#Q
Entry from the Alexandria database: Er3CoAg after structural relaxation (PBE-GGA).

Cell: 5.096 5.096 5.096 Å, 90.00 90.00 90.00°
Sites, in units of the cell vectors:
Er 0.000 0.500 0.000
Er 0.000 0.000 0.500
Er 0.500 0.000 0.000
Co 0.000 0.000 0.000
Ag 0.500 0.500 0.500

Values from the calculation:
DOS at the Fermi energy = 3.20 states/eV/cell
symmetry = Pm-3m, No. 221

#R
Entry from the Alexandria database: Er3CoAg after structural relaxation (PBE-GGA).

Cell: 5.894 5.894 8.543 Å, 67.09 67.09 63.82°
Sites, in units of the cell vectors:
Er 0.293 0.293 0.320
Er 0.684 0.684 0.130
Er 0.974 0.974 0.220
Er 0.707 0.707 0.680
Er 0.316 0.316 0.870
Er 0.026 0.026 0.780
Co 0.312 0.688 0.000
Co 0.688 0.312 0.000
Ag 0.277 0.723 0.500
Ag 0.723 0.277 0.500

Values from the calculation:
DOS at the Fermi energy = 9.22 states/eV/cell
symmetry = C2/m, No. 12

It is #Q that is the least stable of them.

#P
Entry from the Alexandria database: HoErCoAg after structural relaxation (PBE-GGA).

Cell: 4.906 4.906 4.906 Å, 60.00 60.00 60.00°
Sites, in units of the cell vectors:
Ho 0.500 0.500 0.500
Ag 0.250 0.250 0.250
Er 0.000 0.000 0.000
Co 0.750 0.750 0.750

Values from the calculation:
DOS at the Fermi energy = 2.93 states/eV/cell
symmetry = F-43m, No. 216

#Q
Entry from the Alexandria database: HoErCoAg after structural relaxation (PBE-GGA).

Cell: 3.346 3.346 7.487 Å, 90.00 90.00 90.00°
Sites, in units of the cell vectors:
Ho 0.500 0.500 0.790
Co 0.000 0.000 0.570
Er 0.500 0.500 0.352
Ag 0.000 0.000 0.073

Values from the calculation:
DOS at the Fermi energy = 2.55 states/eV/cell
symmetry = P4mm, No. 99

It is #P that is the least stable of them.

#P
Entry from the Alexandria database: ErTmCoAg after structural relaxation (PBE-GGA).

Cell: 4.882 4.882 4.882 Å, 60.00 60.00 60.00°
Sites, in units of the cell vectors:
Co 0.750 0.750 0.750
Ag 0.250 0.250 0.250
Er 0.000 0.000 0.000
Tm 0.500 0.500 0.500

Values from the calculation:
DOS at the Fermi energy = 2.99 states/eV/cell
symmetry = F-43m, No. 216

#Q
Entry from the Alexandria database: ErTmCoAg after structural relaxation (PBE-GGA).

Cell: 3.330 3.330 7.454 Å, 90.00 90.00 90.00°
Sites, in units of the cell vectors:
Er 0.500 0.500 0.790
Co 0.000 0.000 0.570
Tm 0.500 0.500 0.352
Ag 0.000 0.000 0.073

Values from the calculation:
DOS at the Fermi energy = 2.49 states/eV/cell
symmetry = P4mm, No. 99

It is #P that is the least stable of them.